# 1
KPrHf4O12: relaxed, PBE.

Cell and atoms, written as POSCAR:
```
KPrHf4O12
1.0
1.195 4.569 -3.360
-1.344 3.576 4.358
7.826 -0.170 2.553
O K Pr Hf
12 1 1 4
direct
0.737 0.263 0.779 O
0.478 0.013 0.500 O
0.266 0.266 0.802 O
0.528 0.937 0.000 O
0.266 0.266 0.198 O
0.937 0.528 0.000 O
0.013 0.478 0.500 O
0.263 0.737 0.779 O
0.751 0.751 0.742 O
0.751 0.751 0.258 O
0.737 0.263 0.221 O
0.263 0.737 0.221 O
0.990 0.990 0.500 K
0.509 0.509 0.000 Pr
0.495 0.004 0.255 Hf
0.495 0.004 0.745 Hf
0.004 0.495 0.745 Hf
0.004 0.495 0.255 Hf
```

Summary:
Size of the total moment ... 4.038 μB per formula unit
V ... 15.37 A^3/atom
Density of states at the Fermi level ... 0.386 states/eV per atom
Symmetry ... Amm2 (38)
Formation energy from raw total energies ... -2.7394 eV/atom
DFT total energy ... -8.583 eV/atom



# 2
KPrHf2O6: relaxed, PBE.

Cell and atoms, written as POSCAR:
```
KPrHf2O6
1.0
0.000 4.124 4.124
4.124 0.000 4.124
4.124 4.124 0.000
Hf O K Pr
2 6 1 1
direct
0.750 0.750 0.750 Hf
0.250 0.250 0.250 Hf
0.000 0.000 0.500 O
0.500 0.000 0.000 O
0.000 0.500 0.500 O
0.000 0.500 0.000 O
0.500 0.500 0.000 O
0.500 0.000 0.500 O
0.500 0.500 0.500 K
0.000 0.000 0.000 Pr
```

Summary:
Size of the total moment ... 0.000 μB per formula unit
V ... 14.03 A^3/atom
Density of states at the Fermi level ... 0.000 states/eV per atom
Symmetry ... Fm-3m (225)
Formation energy from raw total energies ... -3.1417 eV/atom
DFT total energy ... -8.695 eV/atom



# 3
KPrHfSnO6: relaxed, PBE.

Cell and atoms, written as POSCAR:
```
KPrHfSnO6
1.0
5.208 0.961 2.380
0.905 -1.233 5.601
3.388 -4.478 1.476
O K Pr Sn Hf
6 1 1 1 1
direct
0.250 0.750 0.250 O
0.750 0.250 0.750 O
0.750 0.250 0.250 O
0.250 0.250 0.750 O
0.250 0.750 0.750 O
0.750 0.750 0.250 O
0.750 0.750 0.750 K
0.250 0.250 0.250 Pr
0.500 0.500 0.500 Sn
0.000 0.000 0.000 Hf
```

Summary:
Size of the total moment ... 0.000 μB per formula unit
V ... 13.84 A^3/atom
Density of states at the Fermi level ... 0.000 states/eV per atom
Symmetry ... F-43m (216)
Formation energy from raw total energies ... -2.5693 eV/atom
DFT total energy ... -7.528 eV/atom



# 4
KPrHfZrO6: relaxed, PBE.

Cell and atoms, written as POSCAR:
```
KPrHfZrO6
1.0
0.000 4.152 4.152
4.152 0.000 4.152
4.152 4.152 0.000
Hf K O Pr Zr
1 1 6 1 1
direct
0.000 0.000 0.000 Hf
0.750 0.750 0.750 K
0.752 0.248 0.752 O
0.248 0.248 0.752 O
0.752 0.752 0.248 O
0.752 0.248 0.248 O
0.248 0.752 0.248 O
0.248 0.752 0.752 O
0.250 0.250 0.250 Pr
0.500 0.500 0.500 Zr
```

Summary:
Size of the total moment ... 0.000 μB per formula unit
V ... 14.32 A^3/atom
Density of states at the Fermi level ... 0.000 states/eV per atom
Symmetry ... F-43m (216)
Formation energy from raw total energies ... -3.0520 eV/atom
DFT total energy ... -8.465 eV/atom



Number 1 is which compound?
KPrHf4O12



What is the formula in the third record?
KPrHfSnO6



Which of these has the lowest formation energy from raw total energies?
KPrHf2O6



size of the total moment of number 4 (KPrHfZrO6)?
0.000 μB per formula unit